Compound: AcPmPr2Sb4
Source: Alexandria via LeMat-Bulk
Functional: PBE
Structure: optimized geometry

Cell and atoms, written as CIF:
```
data_AcPmPr2Sb4
_cell_length_a 4.607
_cell_length_b 7.976
_cell_length_c 7.977
_cell_angle_alpha 70.58
_cell_angle_beta 90.00
_cell_angle_gamma 90.00
_space_group_name_H-M_alt 'P 1'
_space_group_IT_number 1
loop_
_space_group_symop_operation_xyz
'x,y,z'
loop_
_atom_site_label
_atom_site_fract_x
_atom_site_fract_y
_atom_site_fract_z
Sb1 0.500 0.751 0.257
Ac1 0.500 0.500 0.000
Sb2 0.000 0.243 0.260
Pr1 0.000 0.000 0.000
Sb3 0.500 0.249 0.743
Pr2 0.500 0.000 0.500
Pm1 0.000 0.500 0.500
Sb4 0.000 0.757 0.740
```

Summary:
SG: P2/m
Total energy (eV per cell): -44.35
Magnetic moment (μB/atom): 0.000